(1)
{"formula": "TbNd2Pt", "functional": "GGA-PBE", "state": "relaxed", "lattice": [[6.593, 0.000, 0.000], [0.000, 7.180, 0.000], [0.000, 0.000, 10.046]], "species": ["Tb", "Tb", "Tb", "Tb", "Nd", "Nd", "Nd", "Nd", "Nd", "Nd", "Nd", "Nd", "Pt", "Pt", "Pt", "Pt"], "fractional_positions": [[0.645, 0.531, 0.250], [0.855, 0.031, 0.250], [0.355, 0.469, 0.750], [0.145, 0.969, 0.750], [0.175, 0.681, 0.062], [0.325, 0.181, 0.438], [0.825, 0.319, 0.562], [0.675, 0.819, 0.938], [0.825, 0.319, 0.938], [0.675, 0.819, 0.562], [0.175, 0.681, 0.438], [0.325, 0.181, 0.062], [0.051, 0.384, 0.250], [0.449, 0.884, 0.250], [0.949, 0.616, 0.750], [0.551, 0.116, 0.750]], "e_form_ev_per_atom": -0.643, "dft_energy_ev_per_atom": -5.695, "spacegroup": "Pnma"}



(2)
{"formula": "Pm2SnBi", "functional": "GGA-PBE", "state": "relaxed", "lattice": [[4.436, -0.003, -0.005], [-2.219, 3.841, 0.005], [-2.214, -1.281, 7.740]], "species": ["Pm", "Pm", "Sn", "Bi"], "fractional_positions": [[0.500, 0.250, 0.751], [0.500, 0.750, 0.249], [0.000, 0.000, 0.000], [0.000, 0.500, 0.500]], "e_form_ev_per_atom": -0.753, "dft_energy_ev_per_atom": -5.099, "spacegroup": "R-3m"}



(3)
{"formula": "Li2TeAs", "functional": "GGA-PBE", "state": "relaxed", "lattice": [[-4.142, 2.016, -2.267], [-1.755, -3.650, -3.157], [1.158, -0.296, 4.994]], "species": ["As", "Li", "Li", "Te"], "fractional_positions": [[0.750, 0.250, 0.500], [0.000, 0.000, 0.000], [0.500, 0.500, 0.000], [0.250, 0.750, 0.500]], "dft_energy_ev_per_atom": -3.400, "e_form_raw_ev_per_atom": -0.495, "spacegroup": "I4/mmm"}